# 1
First-principles (PBE) data for crystalline MnCuAgSn at its relaxed geometry, as listed in Alexandria via LeMat-Bulk.

Unit cell a=4.564 b=4.564 c=4.564 alpha=60.00 beta=60.00 gamma=60.00
Fractional coordinates of all 4 atoms:
Mn  0.000  0.000  0.000
Ag  0.750  0.750  0.750
Cu  0.500  0.500  0.500
Sn  0.250  0.250  0.250

Output
Uncorrected energy (eV/atom): -4.887
Formation energy from the elements (eV/atom): 0.14
Total magnetic moment (μB/f.u.): 3.63
Space-group type: F-43m, No. 216

***

# 2
First-principles (PBE) data for crystalline Ba2NaLaIr at its relaxed geometry, as listed in Alexandria via LeMat-Bulk.

Unit cell a=6.400 b=6.400 c=5.493 alpha=90.00 beta=90.00 gamma=90.00
Fractional coordinates of all 5 atoms:
Ba  0.500  0.000  0.000
Ba  0.000  0.500  0.000
La  0.000  0.000  0.500
Ir  0.000  0.000  0.000
Na  0.500  0.500  0.500

Output
Uncorrected energy (eV/atom): -3.977
Formation energy from the elements (eV/atom): -0.19
Total magnetic moment (μB/f.u.): 0.00
Space-group type: P4/mmm, No. 123

***

# 3
First-principles (PBE) data for crystalline Ba3MgSn2 at its relaxed geometry, as listed in Alexandria via LeMat-Bulk.

Unit cell a=8.254 b=7.381 c=9.786 alpha=112.16 beta=114.94 gamma=90.00
Fractional coordinates of all 12 atoms:
Ba  0.011  0.823  0.646
Ba  0.989  0.177  0.354
Ba  0.635  0.323  0.646
Ba  0.500  0.250  0.000
Ba  0.365  0.677  0.354
Ba  0.500  0.750  0.000
Sn  0.897  0.610  0.219
Sn  0.678  0.890  0.781
Sn  0.322  0.110  0.219
Sn  0.103  0.390  0.781
Mg  0.000  0.750  0.000
Mg  0.000  0.250  0.000

Output
Uncorrected energy (eV/atom): -3.082
Formation energy from the elements (eV/atom): -0.52
Total magnetic moment (μB/f.u.): 0.00
Space-group type: Ibam, No. 72

***

# 4
First-principles (PBE) data for crystalline CaZn4Ir2 at its relaxed geometry, as listed in Alexandria via LeMat-Bulk.

Unit cell a=5.499 b=5.307 c=5.307 alpha=74.49 beta=58.74 gamma=58.74
Fractional coordinates of all 7 atoms:
Zn  0.305  0.001  0.391
Zn  0.305  0.391  0.001
Zn  0.695  0.999  0.609
Zn  0.695  0.609  0.999
Ca  0.000  0.000  0.000
Ir  0.749  0.500  0.500
Ir  0.251  0.500  0.500

Output
Uncorrected energy (eV/atom): -3.833
Formation energy from the elements (eV/atom): -0.29
Total magnetic moment (μB/f.u.): 0.00
Space-group type: Immm, No. 71

***

Among the records above, which one has the highest total magnetic moment?
MnCuAgSn